[1]
LaSiP3: optimized geometry, PBE-GGA.

For the polymorph energy (0 for the lowest one), the calculation gives 1960 meV per atom. The calculation puts the energy at -4.093 eV/atom. The calculation puts the theoretical density at 2.8 Mg/m³.

Lattice parameters (Å, degrees): 5.3529 5.3529 5.3529 90.00 90.00 90.00
Last column: nearest neighbours and their distance in Å.
Fractional coordinates of all 5 atoms:
P1 0.0000 0.0000 0.5000  2 La 2.68
Si1 0.5000 0.5000 0.5000  12 P 3.79
La1 0.0000 0.0000 0.0000  6 P 2.68
P2 0.5000 0.0000 0.0000  2 La 2.68
P3 0.0000 0.5000 0.0000  2 La 2.68

[2]
BeCd2Te: optimized geometry, PBE-GGA.

For the polymorph energy (0 for the lowest one), the calculation gives 145 meV per atom. The calculation puts the energy at -1.865 eV/atom. The calculation puts the theoretical density at 6.4 Mg/m³.

Lattice parameters (Å, degrees): 3.8950 6.7357 3.8949 72.86 91.12 107.14
Last column: nearest neighbours and their distance in Å.
Fractional coordinates of all 4 atoms:
Cd1 0.0000 0.0000 0.0000  4 Cd 2.73-2.78
Be1 0.5000 0.5000 0.0000  4 Te 2.73-2.78
Te1 0.0000 0.5000 0.5000  4 Be 2.73-2.78
Cd2 0.5000 0.0000 0.5000  4 Cd 2.73-2.78

[3]
TaMoRh4: optimized geometry, PBE-GGA.

The calculation puts the energy at -8.666 eV/atom. The value obtained for the energy of formation is 0.02 eV/atom. The calculation puts the theoretical density at 10.8 Mg/m³.

Lattice parameters (Å, degrees): 5.9515 5.9535 5.9534 90.00 90.00 90.03
Last column: nearest neighbours and their distance in Å.
Fractional coordinates of all 12 atoms:
Rh1 0.2527 0.0000 0.5001  2 Mo 2.56, 2 Ta 2.59
Ta1 0.0000 0.7500 0.2488  8 Rh 2.59
Ta2 0.0000 0.2500 0.7512  8 Rh 2.59
Rh2 0.7473 0.0000 0.4999  2 Mo 2.56, 2 Ta 2.59
Rh3 0.7460 0.5000 0.9999  2 Mo 2.57, 2 Ta 2.59
Mo1 0.5000 0.7500 0.7488  8 Rh 2.56-2.57
Rh4 0.2540 0.5000 0.0001  2 Mo 2.57, 2 Ta 2.59
Rh5 0.7473 0.5000 0.5001  2 Mo 2.56, 2 Ta 2.59
Rh6 0.7460 0.0000 0.0001  2 Mo 2.57, 2 Ta 2.59
Mo2 0.5000 0.2500 0.2512  8 Rh 2.56-2.57
Rh7 0.2527 0.5000 0.4999  2 Mo 2.56, 2 Ta 2.59
Rh8 0.2540 0.0000 0.9999  2 Mo 2.57, 2 Ta 2.59

[4]
CrSb2TeI: optimized geometry, PBE-GGA.

For the polymorph energy (0 for the lowest one), the calculation gives 116 meV per atom. The calculation puts the energy at -4.085 eV/atom. The calculation puts the theoretical density at 6.7 Mg/m³.

Lattice parameters (Å, degrees): 5.1923 5.1923 5.0247 90.00 90.00 90.00
Last column: nearest neighbours and their distance in Å.
Fractional coordinates of all 5 atoms:
Sb1 0.5000 0.0000 0.0000  2 Cr 2.60
I1 0.0000 0.0000 0.5000  2 Cr 2.51
Te1 0.5000 0.5000 0.5000  8 Sb 3.61, 4 I 3.67
Sb2 0.0000 0.5000 0.0000  2 Cr 2.60
Cr1 0.0000 0.0000 0.0000  2 I 2.51, 4 Sb 2.60

[5]
Nd2ZrSb3: optimized geometry, PBE-GGA.

For the polymorph energy (0 for the lowest one), the calculation gives 0 meV per atom. The calculation puts the energy at -6.028 eV/atom. The calculation puts the theoretical density at 6.9 Mg/m³.

Lattice parameters (Å, degrees): 4.3740 6.2290 7.5977 114.20 106.73 90.00
Last column: nearest neighbours and their distance in Å.
Fractional coordinates of all 6 atoms:
Nd1 0.3285 0.8285 0.6570  6 Sb 3.12-3.18
Nd2 0.6715 0.1715 0.3430  6 Sb 3.12-3.18
Sb1 0.6534 0.6534 0.3068  2 Zr 2.98, 4 Nd 3.12-3.18
Zr1 0.0000 0.5000 0.0000  6 Sb 2.98-3.11
Sb2 0.0000 0.0000 0.0000  2 Zr 3.11, 4 Nd 3.14
Sb3 0.3466 0.3466 0.6932  2 Zr 2.98, 4 Nd 3.12-3.18

[6]
Ac2Si2O7: optimized geometry, PBE-GGA.

The calculation puts the energy at -8.049 eV/atom. The calculation puts the theoretical density at 5.9 Mg/m³.

Lattice parameters (Å, degrees): 4.8699 6.1691 6.1691 105.30 96.32 96.32
Last column: nearest neighbours and their distance in Å.
Fractional coordinates of all 11 atoms:
O1 0.2148 0.3578 0.3578  1 Si 1.64
Ac1 0.5000 0.6968 0.3032  6 O 2.50-2.56
O2 0.7852 0.6422 0.6422  1 Si 1.64
O3 0.7411 0.0943 0.3717  1 Si 1.65
O4 0.7411 0.3717 0.0943  1 Si 1.65
O5 0.2589 0.6283 0.9057  1 Si 1.65
O6 0.2589 0.9057 0.6283  1 Si 1.65
O7 0.0000 0.0000 0.0000  2 Si 1.67
Si1 0.9228 0.2089 0.2089  4 O 1.64-1.67
Ac2 0.5000 0.3032 0.6968  6 O 2.50-2.56
Si2 0.0772 0.7911 0.7911  4 O 1.64-1.67

[7]
Ba2ReBr: optimized geometry, PBE-GGA.

For the polymorph energy (0 for the lowest one), the calculation gives 368 meV per atom. The calculation puts the energy at -4.041 eV/atom. The calculation puts the theoretical density at 6.6 Mg/m³.

Lattice parameters (Å, degrees): 7.0796 7.0796 7.0796 141.66 141.66 55.34
Last column: nearest neighbours and their distance in Å.
Fractional coordinates of all 4 atoms:
Re1 0.7500 0.2500 0.5000  4 Ba 3.29
Br1 0.5000 0.5000 0.0000  4 Ba 3.29
Ba1 0.0000 0.0000 0.0000  4 Br 3.29
Ba2 0.2500 0.7500 0.5000  4 Re 3.29

[8]
Li3TbS4O12: optimized geometry, PBE-GGA.

The calculation puts the energy at -5.660 eV/atom. The calculation puts the theoretical density at 3.7 Mg/m³.

Lattice parameters (Å, degrees): 6.4043 6.4043 6.4043 105.64 105.64 105.64
Last column: nearest neighbours and their distance in Å.
Fractional coordinates of all 20 atoms:
O1 0.0142 0.6626 0.7579  1 S 1.65
S1 0.5000 0.5000 0.5000  3 O 1.43
O2 0.6403 0.5000 0.3597  1 S 1.43
O3 0.6626 0.7579 0.0142  1 S 1.65
O4 0.9858 0.2421 0.3374  1 S 1.65
O5 0.5000 0.0425 0.9575  1 S 1.52
O6 0.2421 0.3374 0.9858  1 S 1.65
Li1 0.0000 0.5796 0.4204  6 O 2.05-2.26
O7 0.5000 0.3597 0.6403  1 S 1.43
Li2 0.5796 0.4204 0.0000  6 O 2.05-2.26
S2 0.8940 0.1060 0.5000  3 O 1.52-1.65
S3 0.5000 0.8940 0.1060  3 O 1.52-1.65
Tb1 0.0000 0.0000 0.0000  6 O 2.34
O8 0.9575 0.5000 0.0425  1 S 1.52
O9 0.3374 0.9858 0.2421  1 S 1.65
O10 0.7579 0.0142 0.6626  1 S 1.65
Li3 0.4204 0.0000 0.5796  6 O 2.05-2.26
O11 0.0425 0.9575 0.5000  1 S 1.52
S4 0.1060 0.5000 0.8940  3 O 1.52-1.65
O12 0.3597 0.6403 0.5000  1 S 1.43

[9]
La2AlTlN: optimized geometry, PBE-GGA.

The calculation puts the energy at -5.529 eV/atom. The calculation puts the theoretical density at 7.5 Mg/m³.

Lattice parameters (Å, degrees): 5.3945 5.3945 3.9814 90.00 90.00 90.00
Last column: nearest neighbours and their distance in Å.
Fractional coordinates of all 5 atoms:
Tl1 0.5000 0.5000 0.5000  8 La 3.35
La1 0.0000 0.5000 0.0000  2 N 2.70
N1 0.0000 0.0000 0.0000  2 Al 1.99
Al1 0.0000 0.0000 0.5000  2 N 1.99
La2 0.5000 0.0000 0.0000  2 N 2.70

[10]
Tc5Ag3: optimized geometry, PBE-GGA.

For the polymorph energy (0 for the lowest one), the calculation gives 200 meV per atom. The calculation puts the energy at -6.775 eV/atom. The value obtained for the energy of formation is 0.77 eV/atom. The calculation puts the theoretical density at 10.1 Mg/m³.

Lattice parameters (Å, degrees): 8.1775 8.1775 4.6070 90.00 90.00 120.00
Last column: nearest neighbours and their distance in Å.
Fractional coordinates of all 16 atoms:
Ag1 0.0000 0.6057 0.2500  8 Tc 2.77-2.88, 2 Ag 2.88
Tc1 0.1824 0.1824 0.7500  6 Tc 2.58-2.74, 4 Ag 2.79-2.88
Ag2 0.3943 0.3943 0.2500  8 Tc 2.77-2.88, 2 Ag 2.88
Ag3 0.6057 0.6057 0.7500  8 Tc 2.77-2.88, 2 Ag 2.88
Tc2 0.1824 0.0000 0.2500  6 Tc 2.58-2.74, 4 Ag 2.79-2.88
Tc3 0.3333 0.6667 0.5000  2 Tc 2.30
Tc4 0.0000 0.1824 0.2500  6 Tc 2.58-2.74, 4 Ag 2.79-2.88
Ag4 0.6057 0.0000 0.2500  8 Tc 2.77-2.88, 2 Ag 2.88
Ag5 0.0000 0.3943 0.7500  8 Tc 2.77-2.88, 2 Ag 2.88
Tc5 0.6667 0.3333 0.5000  2 Tc 2.30
Ag6 0.3943 0.0000 0.7500  8 Tc 2.77-2.88, 2 Ag 2.88
Tc6 0.6667 0.3333 0.0000  2 Tc 2.30
Tc7 0.0000 0.8176 0.7500  6 Tc 2.58-2.74, 4 Ag 2.79-2.88
Tc8 0.8176 0.8176 0.2500  6 Tc 2.58-2.74, 4 Ag 2.79-2.88
Tc9 0.3333 0.6667 0.0000  2 Tc 2.30
Tc10 0.8176 0.0000 0.7500  6 Tc 2.58-2.74, 4 Ag 2.79-2.88

[11]
Cu2H2Ir: optimized geometry, PBE-GGA.

For the polymorph energy (0 for the lowest one), the calculation gives 250 meV per atom. The calculation puts the energy at -4.387 eV/atom. The calculation puts the theoretical density at 11.7 Mg/m³.

Lattice parameters (Å, degrees): 2.7569 2.7569 6.2957 77.35 77.35 90.00
Last column: nearest neighbours and their distance in Å.
Fractional coordinates of all 5 atoms:
Cu1 0.3447 0.3447 0.3107  4 H 1.78
Cu2 0.6553 0.6553 0.6893  4 H 1.78
H1 0.7500 0.2500 0.5000  4 Cu 1.78, 4 H 1.95
H2 0.2500 0.7500 0.5000  4 Cu 1.78, 4 H 1.95
Ir1 0.0000 0.0000 0.0000  8 Cu 2.69, 4 Ir 2.76

[12]
InSbPb2O6: optimized geometry, PBE-GGA.

The calculation puts the energy at -5.733 eV/atom. The calculation puts the theoretical density at 8.8 Mg/m³.

Lattice parameters (Å, degrees): 5.8475 5.8521 8.2731 90.00 90.03 90.00
Last column: nearest neighbours and their distance in Å.
Fractional coordinates of all 20 atoms:
In1 0.0000 0.5000 0.5000  6 O 2.19-2.20
O1 0.2016 0.2243 0.0369  1 Sb 2.02, 1 In 2.20
O2 0.7730 0.7938 0.5377  1 Sb 2.03, 1 In 2.19
O3 0.7984 0.7757 0.9631  1 Sb 2.02, 1 In 2.20
Pb1 0.4944 0.4741 0.2512  5 O 2.55-2.82
O4 0.7270 0.2938 0.9623  1 Sb 2.03, 1 In 2.19
In2 0.5000 0.0000 0.0000  6 O 2.19-2.20
O5 0.4281 0.9861 0.7392  1 Sb 2.02, 1 In 2.20
O6 0.0719 0.4861 0.7608  1 Sb 2.02, 1 In 2.20
Pb2 0.9944 0.0259 0.7512  5 O 2.55-2.82
Sb1 0.0000 0.5000 0.0000  6 O 2.02-2.03
O7 0.2270 0.2062 0.4623  1 Sb 2.03, 1 In 2.19
O8 0.7016 0.2757 0.5369  1 Sb 2.02, 1 In 2.20
Pb3 0.0056 0.9741 0.2488  5 O 2.55-2.82
O9 0.5719 0.0139 0.2608  1 Sb 2.02, 1 In 2.20
O10 0.2984 0.7243 0.4631  1 Sb 2.02, 1 In 2.20
Pb4 0.5056 0.5259 0.7488  5 O 2.55-2.82
Sb2 0.5000 0.0000 0.5000  6 O 2.02-2.03
O11 0.9281 0.5139 0.2392  1 Sb 2.02, 1 In 2.20
O12 0.2730 0.7062 0.0377  1 Sb 2.03, 1 In 2.19

Question: Look up the energy of the first one.
Answer: -4.093 eV/atom